#P
CoHgS4: optimized geometry, PBE.

Magnetic moment = 0.000 μB per atom
Mass density = 4926 kg/m3

Geometry as CIF:
```
data_CoHgS4
_cell_length_a 7.1957
_cell_length_b 7.1957
_cell_length_c 5.0496
_cell_angle_alpha 90.00
_cell_angle_beta 90.00
_cell_angle_gamma 90.00
_symmetry_space_group_name_H-M 'I -4'
_symmetry_Int_Tables_number 82
_symmetry_space_group_name_Hall 'I -4'
loop_
_atom_site_label
_atom_site_type_symbol
_atom_site_fract_x
_atom_site_fract_y
_atom_site_fract_z
_atom_site_occupancy
Co1 Co 0.0000 0.0000 0.0000 1
Hg1 Hg 0.0000 0.5000 0.7500 1
S1 S 0.1715 0.1836 0.7939 1
```

=====

#Q
CoHgS4: optimized geometry, PBE.

Magnetic moment = 0.000 μB per atom
Mass density = 4587 kg/m3

Geometry as CIF:
```
data_CoHgS4
_cell_length_a 5.9274
_cell_length_b 6.4858
_cell_length_c 7.9722
_cell_angle_alpha 109.38
_cell_angle_beta 93.60
_cell_angle_gamma 101.35
_symmetry_space_group_name_H-M 'P -1'
_symmetry_Int_Tables_number 2
_symmetry_space_group_name_Hall '-P 1'
loop_
_atom_site_label
_atom_site_type_symbol
_atom_site_fract_x
_atom_site_fract_y
_atom_site_fract_z
_atom_site_occupancy
Co1 Co 0.0954 0.0270 0.3010 1
Hg1 Hg 0.4646 0.8961 0.2024 1
S1 S 0.0553 0.7844 0.4530 1
S2 S 0.1604 0.2314 0.9115 1
S3 S 0.1798 0.2839 0.1766 1
S4 S 0.2904 0.3193 0.5474 1
```

=====

Most stable pick: #Q. Distance to second place: 282 meV/atom.

=====

#P
Co3HgS: optimized geometry, PBE.

Magnetic moment = 0.574 μB per atom
Mass density = 9457 kg/m3

Geometry as CIF:
```
data_Co3HgS
_cell_length_a 4.1582
_cell_length_b 4.1582
_cell_length_c 4.1582
_cell_angle_alpha 90.00
_cell_angle_beta 90.00
_cell_angle_gamma 90.00
_symmetry_space_group_name_H-M 'P m -3 m'
_symmetry_Int_Tables_number 221
_symmetry_space_group_name_Hall '-P 4 2 3'
loop_
_atom_site_label
_atom_site_type_symbol
_atom_site_fract_x
_atom_site_fract_y
_atom_site_fract_z
_atom_site_occupancy
Co1 Co 0.0000 0.0000 0.5000 1
Hg1 Hg 0.5000 0.5000 0.5000 1
S1 S 0.0000 0.0000 0.0000 1
```

=====

#Q
Co3HgS: optimized geometry, PBE.

Magnetic moment = 1.108 μB per atom
Mass density = 6187 kg/m3

Geometry as CIF:
```
data_Co3HgS
_cell_length_a 4.7899
_cell_length_b 4.7899
_cell_length_c 4.7899
_cell_angle_alpha 90.00
_cell_angle_beta 90.00
_cell_angle_gamma 90.00
_symmetry_space_group_name_H-M 'P m -3 m'
_symmetry_Int_Tables_number 221
_symmetry_space_group_name_Hall '-P 4 2 3'
loop_
_atom_site_label
_atom_site_type_symbol
_atom_site_fract_x
_atom_site_fract_y
_atom_site_fract_z
_atom_site_occupancy
Co1 Co 0.0000 0.0000 0.5000 1
Hg1 Hg 0.0000 0.0000 0.0000 1
S1 S 0.5000 0.5000 0.5000 1
```

=====

Most stable pick: #P. Distance to second place: 1546 meV/atom.

=====

#P
CoHgSb: optimized geometry, PBE.

Magnetic moment = 0.081 μB per atom
Mass density = 10288 kg/m3

Geometry as CIF:
```
data_CoHgSb
_cell_length_a 3.0778
_cell_length_b 3.0778
_cell_length_c 12.9929
_cell_angle_alpha 90.00
_cell_angle_beta 90.00
_cell_angle_gamma 90.00
_symmetry_space_group_name_H-M 'I 4 m m'
_symmetry_Int_Tables_number 107
_symmetry_space_group_name_Hall 'I 4 -2'
loop_
_atom_site_label
_atom_site_type_symbol
_atom_site_fract_x
_atom_site_fract_y
_atom_site_fract_z
_atom_site_occupancy
Co1 Co 0.0000 0.0000 0.0000 1
Hg1 Hg 0.0000 0.0000 0.3595 1
Sb1 Sb 0.0000 0.0000 0.6161 1
```

=====

#Q
CoHgSb: optimized geometry, PBE.

Magnetic moment = 0.153 μB per atom
Mass density = 10478 kg/m3

Geometry as CIF:
```
data_CoHgSb
_cell_length_a 6.2292
_cell_length_b 6.2292
_cell_length_c 6.2292
_cell_angle_alpha 90.00
_cell_angle_beta 90.00
_cell_angle_gamma 90.00
_symmetry_space_group_name_H-M 'F -4 3 m'
_symmetry_Int_Tables_number 216
_symmetry_space_group_name_Hall 'F -4 2 3'
loop_
_atom_site_label
_atom_site_type_symbol
_atom_site_fract_x
_atom_site_fract_y
_atom_site_fract_z
_atom_site_occupancy
Co1 Co 0.0000 0.0000 0.0000 1
Hg1 Hg 0.2500 0.2500 0.2500 1
Sb1 Sb 0.2500 0.2500 0.7500 1
```

=====

#R
CoHgSb: optimized geometry, PBE.

Magnetic moment = 0.000 μB per atom
Mass density = 10118 kg/m3

Geometry as CIF:
```
data_CoHgSb
_cell_length_a 3.3622
_cell_length_b 3.3622
_cell_length_c 6.3918
_cell_angle_alpha 90.00
_cell_angle_beta 90.00
_cell_angle_gamma 120.00
_symmetry_space_group_name_H-M 'P 3 m 1'
_symmetry_Int_Tables_number 156
_symmetry_space_group_name_Hall 'P 3 -2"'
loop_
_atom_site_label
_atom_site_type_symbol
_atom_site_fract_x
_atom_site_fract_y
_atom_site_fract_z
_atom_site_occupancy
Co1 Co 0.0000 0.0000 0.0000 1
Hg1 Hg 0.6667 0.3333 0.3024 1
Sb1 Sb 0.3333 0.6667 0.7539 1
```

=====

Most stable pick: #Q. Distance to second place: 29 meV/atom.

=====

#P
ScCo3Hg: optimized geometry, PBE.

Magnetic moment = 0.468 μB per atom
Mass density = 8074 kg/m3

Geometry as CIF:
```
data_ScCo3Hg
_cell_length_a 4.4287
_cell_length_b 4.4287
_cell_length_c 4.4287
_cell_angle_alpha 90.00
_cell_angle_beta 90.00
_cell_angle_gamma 90.00
_symmetry_space_group_name_H-M 'P m -3 m'
_symmetry_Int_Tables_number 221
_symmetry_space_group_name_Hall '-P 4 2 3'
loop_
_atom_site_label
_atom_site_type_symbol
_atom_site_fract_x
_atom_site_fract_y
_atom_site_fract_z
_atom_site_occupancy
Sc1 Sc 0.0000 0.0000 0.0000 1
Co1 Co 0.0000 0.0000 0.5000 1
Hg1 Hg 0.5000 0.5000 0.5000 1
```

=====

#Q
ScCo3Hg: optimized geometry, PBE.

Magnetic moment = 0.833 μB per atom
Mass density = 6654 kg/m3

Geometry as CIF:
```
data_ScCo3Hg
_cell_length_a 4.7236
_cell_length_b 4.7236
_cell_length_c 4.7236
_cell_angle_alpha 90.00
_cell_angle_beta 90.00
_cell_angle_gamma 90.00
_symmetry_space_group_name_H-M 'P m -3 m'
_symmetry_Int_Tables_number 221
_symmetry_space_group_name_Hall '-P 4 2 3'
loop_
_atom_site_label
_atom_site_type_symbol
_atom_site_fract_x
_atom_site_fract_y
_atom_site_fract_z
_atom_site_occupancy
Sc1 Sc 0.0000 0.0000 0.0000 1
Co1 Co 0.0000 0.5000 0.5000 1
Hg1 Hg 0.5000 0.5000 0.5000 1
```

=====

Most stable pick: #P. Distance to second place: 67 meV/atom.

=====

#P
TmScCoHg: optimized geometry, PBE.

Magnetic moment = 0.087 μB per atom
Mass density = 9913 kg/m3

Geometry as CIF:
```
data_TmScCoHg
_cell_length_a 3.3016
_cell_length_b 3.3016
_cell_length_c 7.2751
_cell_angle_alpha 90.00
_cell_angle_beta 90.00
_cell_angle_gamma 90.00
_symmetry_space_group_name_H-M 'P 4 m m'
_symmetry_Int_Tables_number 99
_symmetry_space_group_name_Hall 'P 4 -2'
loop_
_atom_site_label
_atom_site_type_symbol
_atom_site_fract_x
_atom_site_fract_y
_atom_site_fract_z
_atom_site_occupancy
Tm1 Tm 0.0000 0.0000 0.0000 1
Sc1 Sc 0.0000 0.0000 0.5693 1
Co1 Co 0.5000 0.5000 0.7678 1
Hg1 Hg 0.5000 0.5000 0.3009 1
```

=====

#Q
TmScCoHg: optimized geometry, PBE.

Magnetic moment = 0.153 μB per atom
Mass density = 9746 kg/m3

Geometry as CIF:
```
data_TmScCoHg
_cell_length_a 6.8586
_cell_length_b 6.8586
_cell_length_c 6.8586
_cell_angle_alpha 90.00
_cell_angle_beta 90.00
_cell_angle_gamma 90.00
_symmetry_space_group_name_H-M 'F -4 3 m'
_symmetry_Int_Tables_number 216
_symmetry_space_group_name_Hall 'F -4 2 3'
loop_
_atom_site_label
_atom_site_type_symbol
_atom_site_fract_x
_atom_site_fract_y
_atom_site_fract_z
_atom_site_occupancy
Tm1 Tm 0.0000 0.0000 0.0000 1
Sc1 Sc 0.0000 0.0000 0.5000 1
Co1 Co 0.2500 0.2500 0.2500 1
Hg1 Hg 0.2500 0.2500 0.7500 1
```

=====

Most stable pick: #P. Distance to second place: 131 meV/atom.

=====

#P
CoHg3Se: optimized geometry, PBE.

Magnetic moment = 0.435 μB per atom
Mass density = 7333 kg/m3

Geometry as CIF:
```
data_CoHg3Se
_cell_length_a 5.5123
_cell_length_b 5.5123
_cell_length_c 5.5123
_cell_angle_alpha 90.00
_cell_angle_beta 90.00
_cell_angle_gamma 90.00
_symmetry_space_group_name_H-M 'P m -3 m'
_symmetry_Int_Tables_number 221
_symmetry_space_group_name_Hall '-P 4 2 3'
loop_
_atom_site_label
_atom_site_type_symbol
_atom_site_fract_x
_atom_site_fract_y
_atom_site_fract_z
_atom_site_occupancy
Co1 Co 0.0000 0.0000 0.0000 1
Hg1 Hg 0.0000 0.5000 0.5000 1
Se1 Se 0.5000 0.5000 0.5000 1
```

=====

#Q
CoHg3Se: optimized geometry, PBE.

Magnetic moment = 0.400 μB per atom
Mass density = 9599 kg/m3

Geometry as CIF:
```
data_CoHg3Se
_cell_length_a 5.0390
_cell_length_b 5.0390
_cell_length_c 5.0390
_cell_angle_alpha 90.00
_cell_angle_beta 90.00
_cell_angle_gamma 90.00
_symmetry_space_group_name_H-M 'P m -3 m'
_symmetry_Int_Tables_number 221
_symmetry_space_group_name_Hall '-P 4 2 3'
loop_
_atom_site_label
_atom_site_type_symbol
_atom_site_fract_x
_atom_site_fract_y
_atom_site_fract_z
_atom_site_occupancy
Co1 Co 0.0000 0.0000 0.0000 1
Hg1 Hg 0.0000 0.0000 0.5000 1
Se1 Se 0.5000 0.5000 0.5000 1
```

=====

Most stable pick: #Q. Distance to second place: 406 meV/atom.

=====

#P
CoSiHg3: optimized geometry, PBE.

Magnetic moment = 0.473 μB per atom
Mass density = 8598 kg/m3

Geometry as CIF:
```
data_CoSiHg3
_cell_length_a 5.1048
_cell_length_b 5.1048
_cell_length_c 5.1048
_cell_angle_alpha 90.00
_cell_angle_beta 90.00
_cell_angle_gamma 90.00
_symmetry_space_group_name_H-M 'P m -3 m'
_symmetry_Int_Tables_number 221
_symmetry_space_group_name_Hall '-P 4 2 3'
loop_
_atom_site_label
_atom_site_type_symbol
_atom_site_fract_x
_atom_site_fract_y
_atom_site_fract_z
_atom_site_occupancy
Co1 Co 0.0000 0.0000 0.0000 1
Si1 Si 0.5000 0.5000 0.5000 1
Hg1 Hg 0.0000 0.5000 0.5000 1
```

=====

#Q
CoSiHg3: optimized geometry, PBE.

Magnetic moment = 0.272 μB per atom
Mass density = 9353 kg/m3

Geometry as CIF:
```
data_CoSiHg3
_cell_length_a 4.9635
_cell_length_b 4.9635
_cell_length_c 4.9635
_cell_angle_alpha 90.00
_cell_angle_beta 90.00
_cell_angle_gamma 90.00
_symmetry_space_group_name_H-M 'P m -3 m'
_symmetry_Int_Tables_number 221
_symmetry_space_group_name_Hall '-P 4 2 3'
loop_
_atom_site_label
_atom_site_type_symbol
_atom_site_fract_x
_atom_site_fract_y
_atom_site_fract_z
_atom_site_occupancy
Co1 Co 0.0000 0.0000 0.0000 1
Si1 Si 0.5000 0.5000 0.5000 1
Hg1 Hg 0.0000 0.0000 0.5000 1
```

=====

Most stable pick: #Q. Distance to second place: 127 meV/atom.

=====

#P
Co2Si2Hg: optimized geometry, PBE.

Magnetic moment = 0.000 μB per atom
Mass density = 9413 kg/m3

Geometry as CIF:
```
data_Co2Si2Hg
_cell_length_a 6.8751
_cell_length_b 6.8751
_cell_length_c 2.7962
_cell_angle_alpha 90.00
_cell_angle_beta 90.00
_cell_angle_gamma 90.00
_symmetry_space_group_name_H-M 'P 4/m b m'
_symmetry_Int_Tables_number 127
_symmetry_space_group_name_Hall '-P 4 2ab'
loop_
_atom_site_label
_atom_site_type_symbol
_atom_site_fract_x
_atom_site_fract_y
_atom_site_fract_z
_atom_site_occupancy
Co1 Co 0.1433 0.3567 0.0000 1
Si1 Si 0.1415 0.6415 0.5000 1
Hg1 Hg 0.0000 0.0000 0.0000 1
```

=====

#Q
Co2Si2Hg: optimized geometry, PBE.

Magnetic moment = 0.000 μB per atom
Mass density = 9415 kg/m3

Geometry as CIF:
```
data_Co2Si2Hg
_cell_length_a 7.0392
_cell_length_b 7.0392
_cell_length_c 2.6669
_cell_angle_alpha 90.00
_cell_angle_beta 90.00
_cell_angle_gamma 90.00
_symmetry_space_group_name_H-M 'P 4/m b m'
_symmetry_Int_Tables_number 127
_symmetry_space_group_name_Hall '-P 4 2ab'
loop_
_atom_site_label
_atom_site_type_symbol
_atom_site_fract_x
_atom_site_fract_y
_atom_site_fract_z
_atom_site_occupancy
Co1 Co 0.1442 0.3558 0.0000 1
Si1 Si 0.1392 0.6392 0.5000 1
Hg1 Hg 0.0000 0.0000 0.5000 1
```

=====

Most stable pick: #P. Distance to second place: 46 meV/atom.